one | Computed, not measured: crystalline MgCoCl at its relaxed geometry at the GGA-PBEsol level of DFT.

Unit cell a=3.833 b=3.833 c=3.418 alpha=90.00 beta=90.00 gamma=120.00
Element x y z (fractional)
Mg 0.000 0.000 0.000
Co 0.667 0.333 0.500
Cl 0.333 0.667 0.500

## Properties
Density in kg/m³: 4532
Calculated volume in Å³/atom: 14.50

***

two | Computed, not measured: crystalline MgCoCl at its relaxed geometry at the GGA-PBEsol level of DFT.

Unit cell a=4.115 b=4.115 c=4.115 alpha=60.00 beta=60.00 gamma=60.00
Element x y z (fractional)
Mg 0.000 0.000 0.000
Co 0.250 0.250 0.250
Cl 0.500 0.500 0.500

## Properties
Density in kg/m³: 4000
Calculated volume in Å³/atom: 16.42

***

According to the calculations, the structures order from most to least stable as one, two.

***

one | Computed, not measured: crystalline MgCoCl2 at its relaxed geometry at the GGA-PBEsol level of DFT.

Unit cell a=5.564 b=5.564 c=5.564 alpha=147.23 beta=110.98 gamma=78.53
Element x y z (fractional)
Mg 0.000 0.000 0.000
Co 0.737 0.237 0.500
Cl 0.211 0.711 0.500
Cl 0.565 0.565 0.000

## Properties
Density in kg/m³: 3001
Calculated volume in Å³/atom: 21.32

***

two | Computed, not measured: crystalline MgCoCl2 at its relaxed geometry at the GGA-PBEsol level of DFT.

Unit cell a=8.461 b=8.461 c=8.461 alpha=22.78 beta=22.78 gamma=22.78
Element x y z (fractional)
Mg 0.000 0.000 0.000
Co 0.500 0.500 0.500
Cl 0.223 0.223 0.223
Cl 0.777 0.777 0.777

## Properties
Density in kg/m³: 3211
Calculated volume in Å³/atom: 19.93

***

According to the calculations, the structures order from most to least stable as two, one.

***

one | Computed, not measured: crystalline MnCoCl2 at its relaxed geometry at the GGA-PBEsol level of DFT.

Unit cell a=3.064 b=3.064 c=7.667 alpha=90.00 beta=90.00 gamma=106.07
Element x y z (fractional)
Mn 0.000 0.000 0.000
Co 0.500 0.500 0.225
Cl 0.000 0.000 0.387
Cl 0.500 0.500 0.802

## Properties
Density in kg/m³: 4436
Calculated volume in Å³/atom: 17.29

***

two | Computed, not measured: crystalline MnCoCl2 at its relaxed geometry at the GGA-PBEsol level of DFT.

Unit cell a=7.355 b=7.355 c=7.355 alpha=24.60 beta=24.60 gamma=24.60
Element x y z (fractional)
Mn 0.000 0.000 0.000
Co 0.500 0.500 0.500
Cl 0.244 0.244 0.244
Cl 0.756 0.756 0.756

## Properties
Density in kg/m³: 5060
Calculated volume in Å³/atom: 15.16

***

three | Computed, not measured: crystalline MnCoCl2 at its relaxed geometry at the GGA-PBEsol level of DFT.

Unit cell a=4.298 b=4.298 c=3.083 alpha=90.00 beta=90.00 gamma=90.00
Element x y z (fractional)
Mn 0.000 0.000 0.000
Co 0.500 0.500 0.000
Cl 0.000 0.500 0.500
Cl 0.500 0.000 0.500

## Properties
Density in kg/m³: 5388
Calculated volume in Å³/atom: 14.24

***

According to the calculations, the structures order from most to least stable as one, two, three.

***

one | Computed, not measured: crystalline MnCo2Cl at its relaxed geometry at the GGA-PBEsol level of DFT.

Unit cell a=3.824 b=3.824 c=6.167 alpha=91.48 beta=91.48 gamma=44.41
Element x y z (fractional)
Mn 0.000 0.000 0.000
Co 0.434 0.434 0.352
Co 0.716 0.716 0.222
Cl 0.408 0.408 0.712

## Properties
Density in kg/m³: 5483
Calculated volume in Å³/atom: 15.77

***

two | Computed, not measured: crystalline MnCo2Cl at its relaxed geometry at the GGA-PBEsol level of DFT.

Unit cell a=4.903 b=4.903 c=4.903 alpha=147.60 beta=130.33 gamma=60.56
Element x y z (fractional)
Mn 0.000 0.000 0.000
Co 0.269 0.769 0.500
Co 0.731 0.231 0.500
Cl 0.500 0.500 0.000

## Properties
Density in kg/m³: 7249
Calculated volume in Å³/atom: 11.93

***

three | Computed, not measured: crystalline MnCo2Cl at its relaxed geometry at the GGA-PBEsol level of DFT.

Unit cell a=2.841 b=2.841 c=6.468 alpha=90.00 beta=90.00 gamma=90.00
Element x y z (fractional)
Mn 0.000 0.000 0.000
Co 0.000 0.000 0.562
Co 0.500 0.500 0.760
Cl 0.500 0.500 0.274

## Properties
Density in kg/m³: 6623
Calculated volume in Å³/atom: 13.05

***

According to the calculations, the structures order from most to least stable as three, one, two.